# LuPa2Ru

An optimized crystal structure of LuPa2Ru (GGA-PBE, the Alexandria database).

```
LuPa2Ru
1.0
3.5889 0.0000 0.0000
0.0000 3.5889 0.0000
0.0000 0.0000 7.4245
Lu Pa Ru
1 2 1
direct
0.0000 0.0000 0.0000 Lu
0.5000 0.5000 0.3053 Pa
0.5000 0.5000 0.6947 Pa
0.0000 0.0000 0.5000 Ru
```

Properties
Symmetry: No. 123
Excess energy over the best structure of this formula in the dataset, meV/atom: 0
E_form, eV/atom: -0.062
Total magnetic moment, Bohr magnetons per cell: 0.000